# RbPmV2O8 | Alexandria via LeMat-Bulk | GGA+U | optimized geometry
# electronic total energy = -6.964 eV/atom
# total magnetic moment = 2.0 μB/cell
# Fermi-level density of states = 0.98 states/eV per atom
# density = 3.006 g/cm³
# crystal system = trigonal
data_RbPmV2O8
_cell_length_a 6.0009
_cell_length_b 6.0009
_cell_length_c 8.1530
_cell_angle_alpha 90.00
_cell_angle_beta 90.00
_cell_angle_gamma 120.00
_symmetry_space_group_name_H-M 'P -3'
_symmetry_Int_Tables_number 147
loop_
_symmetry_equiv_pos_as_xyz
'x,y,z'
'-x,-y,-z'
'-y,x-y,z'
'y,-x+y,-z'
'-x+y,-x,z'
'x-y,x,-z'
loop_
_atom_site_label
_atom_site_fract_x
_atom_site_fract_y
_atom_site_fract_z
_atom_site_occupancy
Rb1 0.0000 0.0000 0.0000 1
Pm1 0.0000 0.0000 0.5000 1
V1 0.3333 0.6667 0.7489 1
O1 0.1713 0.3489 0.6801 1
O2 0.3333 0.6667 0.9597 1